Compound: Pu4Ge2Au
Source: Alexandria
Functional: PBE
Structure: relaxed

POSCAR file:
```
Pu4Ge2Au
1.0
1.814 1.048 12.519
-1.814 1.048 12.519
0.000 -2.095 12.519
Pu Ge Au
4 2 1
Direct
0.107 0.107 0.107
0.262 0.262 0.262
0.738 0.738 0.738
0.893 0.893 0.893
0.351 0.351 0.351
0.649 0.649 0.649
0.500 0.500 0.500
```

***

Compound: Pu3Ge3Au
Source: Alexandria
Functional: PBE
Structure: relaxed

POSCAR file:
```
Pu3Ge3Au
1.0
9.550 0.000 0.000
-4.775 8.270 0.000
0.000 0.000 3.642
Pu Ge Au
6 6 2
Direct
0.055 0.468 0.250
0.413 0.945 0.250
0.468 0.413 0.750
0.532 0.587 0.250
0.587 0.055 0.750
0.945 0.532 0.750
0.065 0.817 0.250
0.183 0.248 0.250
0.248 0.065 0.750
0.752 0.935 0.250
0.817 0.752 0.750
0.935 0.183 0.750
0.333 0.667 0.750
0.667 0.333 0.250
```

***

Compound: PuGe2Au
Source: Alexandria
Functional: PBE
Structure: relaxed

POSCAR file:
```
PuGe2Au
1.0
4.447 0.000 0.000
0.000 4.447 0.000
0.000 0.000 4.069
Pu Ge Au
1 2 1
Direct
0.000 0.000 0.000
0.000 0.500 0.500
0.500 0.000 0.500
0.500 0.500 0.000
```

***

Compound: Pu6GeAu2
Source: Alexandria
Functional: PBE
Structure: relaxed

POSCAR file:
```
Pu6GeAu2
1.0
3.031 -2.574 0.000
3.031 2.574 0.000
-2.117 0.000 12.627
Pu Ge Au
6 1 2
Direct
0.057 0.057 0.149
0.285 0.285 0.000
0.402 0.402 0.720
0.598 0.598 0.280
0.715 0.715 0.000
0.943 0.943 0.851
0.500 0.500 0.500
0.085 0.085 0.398
0.915 0.915 0.602
```

***

Compound: PuGe2Au5
Source: Alexandria
Functional: PBE
Structure: relaxed

POSCAR file:
```
PuGe2Au5
1.0
-2.144 3.699 5.169
2.144 -3.699 5.169
2.144 3.699 -5.169
Pu Ge Au
1 2 5
Direct
0.000 0.000 0.000
0.249 0.749 0.500
0.751 0.251 0.500
0.163 0.362 0.801
0.439 0.638 0.801
0.500 0.000 0.500
0.561 0.362 0.199
0.837 0.638 0.199
```

***

Compound: PuGe3Au
Source: Alexandria
Functional: PBE
Structure: relaxed

POSCAR file:
```
PuGe3Au
1.0
-2.676 2.676 9.348
2.676 -2.676 9.348
2.676 2.676 -9.348
Pu Ge Au
2 6 2
Direct
0.090 0.090 0.000
0.910 0.910 0.000
0.007 0.507 0.500
0.363 0.131 0.768
0.363 0.595 0.232
0.405 0.637 0.768
0.493 0.993 0.500
0.869 0.637 0.232
0.250 0.750 0.500
0.500 0.500 0.000
```

***

Compound: Pu2GeAu
Source: Alexandria
Functional: PBE
Structure: relaxed

POSCAR file:
```
Pu2GeAu
1.0
5.487 0.000 0.000
0.000 5.487 0.000
0.000 0.000 3.054
Pu Ge Au
2 1 1
Direct
0.000 0.500 0.000
0.500 0.000 0.000
0.000 0.000 0.500
0.500 0.500 0.500
```

***

Compound: Pu2GeAu
Source: Alexandria
Functional: PBE
Structure: relaxed

POSCAR file:
```
Pu2GeAu
1.0
4.569 0.000 0.000
0.000 4.569 0.000
0.000 0.000 4.286
Pu Ge Au
2 1 1
Direct
0.000 0.500 0.000
0.500 0.000 0.000
0.000 0.000 0.500
0.500 0.500 0.500
```

***

Compound: Pu3Ge2Au2
Source: Alexandria
Functional: PBE
Structure: relaxed

POSCAR file:
```
Pu3Ge2Au2
1.0
-2.094 2.433 8.126
2.094 -2.433 8.126
2.094 2.433 -8.126
Pu Ge Au
3 2 2
Direct
0.000 0.000 0.000
0.379 0.879 0.500
0.621 0.121 0.500
0.247 0.247 0.000
0.753 0.753 0.000
0.140 0.640 0.500
0.860 0.360 0.500
```

***

Compound: PuGe2Au6
Source: Alexandria
Functional: PBE
Structure: relaxed

POSCAR file:
```
PuGe2Au6
1.0
4.372 0.000 0.000
0.000 4.372 0.000
0.000 0.000 9.188
Pu Ge Au
1 2 6
Direct
0.000 0.000 0.000
0.500 0.500 0.132
0.500 0.500 0.868
0.000 0.000 0.500
0.000 0.500 0.284
0.000 0.500 0.716
0.500 0.000 0.284
0.500 0.000 0.716
0.500 0.500 0.500
```

***

Compound: Pu3Ge3Au8
Source: Alexandria
Functional: PBE
Structure: relaxed

POSCAR file:
```
Pu3Ge3Au8
1.0
8.067 -2.340 0.000
8.067 2.340 0.000
-4.949 0.000 7.748
Pu Ge Au
3 3 8
Direct
0.000 0.000 0.000
0.293 0.293 0.286
0.707 0.707 0.714
0.000 0.000 0.500
0.334 0.334 0.688
0.666 0.666 0.312
0.135 0.135 0.844
0.142 0.142 0.421
0.349 0.349 0.976
0.494 0.494 0.670
0.506 0.506 0.330
0.651 0.651 0.024
0.858 0.858 0.579
0.865 0.865 0.156
```

***

Compound: Pu5GeAu3
Source: Alexandria
Functional: PBE
Structure: relaxed

POSCAR file:
```
Pu5GeAu3
1.0
9.429 0.000 0.000
-4.714 8.165 0.000
0.000 0.000 5.706
Pu Ge Au
10 2 6
Direct
0.000 0.272 0.250
0.000 0.728 0.750
0.272 0.000 0.250
0.272 0.272 0.750
0.333 0.667 0.000
0.333 0.667 0.500
0.667 0.333 0.000
0.667 0.333 0.500
0.728 0.000 0.750
0.728 0.728 0.250
0.000 0.000 0.000
0.000 0.000 0.500
0.000 0.399 0.750
0.000 0.601 0.250
0.399 0.000 0.750
0.399 0.399 0.250
0.601 0.000 0.250
0.601 0.601 0.750
```

***

So what do the calculations give for calculated formation energy? Going down the list: -11.3 13.2 -31.3 5.9 -15.4 14.0 -38.7 -40.1 -9.9 -15.7 -31.6 -28.5 kJ/mol of atoms.
So what do the calculations give for electronic total energy? Going down the list: -70.66 -118.33 -28.14 -96.61 -41.23 -61.47 -38.17 -38.22 -59.50 -44.70 -87.66 -177.54 eV/cell.